# LaPm5Nd

LaPm5Nd after structural relaxation (PBE, Alexandria via LeMat-Bulk).

Computed properties:
space group	C2/c (15)
E above lowest polymorph	0.0	kJ/mol of atoms
ΔE_f	160	meV/atom
total moment	0.0	μB/f.u.
final energy	-4.618	eV/atom
calculated volume	492.38	Å³/cell

Lattice parameters (Å, degrees): 6.984 6.984 12.501 108.20 108.20 59.96
Positions (direct):
La (0.029, 0.971, 0.750)
La (0.971, 0.029, 0.250)
Pm (0.152, 0.409, 0.749)
Pm (0.197, 0.650, 0.501)
Pm (0.350, 0.803, 0.999)
Pm (0.409, 0.152, 0.249)
Pm (0.409, 0.591, 0.250)
Pm (0.591, 0.409, 0.750)
Pm (0.591, 0.848, 0.751)
Pm (0.650, 0.197, 0.001)
Pm (0.803, 0.350, 0.499)
Pm (0.848, 0.591, 0.251)
Nd (0.000, 0.500, 0.000)
Nd (0.500, 0.000, 0.500)



# LaPm3Nd3

LaPm3Nd3 after structural relaxation (PBE, Alexandria via LeMat-Bulk).

Computed properties:
space group	P6_3/m (176)
ΔE_f	32	meV/atom
total moment	0.0	μB/f.u.
final energy	-4.752	eV/atom
calculated volume	499.05	Å³/cell

Lattice parameters (Å, degrees): 9.855 9.855 5.933 90.00 90.00 120.00
Positions (direct):
La (0.333, 0.667, 0.250)
La (0.667, 0.333, 0.750)
Pm (0.047, 0.811, 0.250)
Pm (0.189, 0.236, 0.250)
Pm (0.236, 0.047, 0.750)
Pm (0.764, 0.953, 0.250)
Pm (0.811, 0.764, 0.750)
Pm (0.953, 0.189, 0.750)
Nd (0.095, 0.619, 0.750)
Nd (0.381, 0.476, 0.750)
Nd (0.476, 0.095, 0.250)
Nd (0.524, 0.905, 0.750)
Nd (0.619, 0.524, 0.250)
Nd (0.905, 0.381, 0.250)